1.
DFT (PBE) results for a geometry-optimized Rb2ThIO6 structure.

ΔE_f (raw): -1.78 eV per atom
space group: Fm-3m (225)
density of states at the Fermi level: 3.11 states/eV/cell
total DFT energy (no corrections): -0.4293 Ry/atom

```
10
Lattice="-5.6927 -1.8146 1.4454 1.5320 -0.0652 5.9530 -3.3130 3.2115 4.0636" Properties=species:S:1:pos:R:3 pbc="T T T"
Th 0.0000 0.0000 0.0000
I -2.0803 -0.9399 3.6992
O -4.8151 0.3219 7.5928
O -1.1034 -0.4971 1.9625
O -0.3840 -0.5292 4.7582
O -6.3702 1.8288 9.4996
O -2.6585 1.0099 3.8692
O -3.7767 -1.3506 2.6402
Rb -5.5431 0.2283 4.6040
Rb -1.9305 1.1034 6.8580
```

---

2.
DFT (PBE) results for a geometry-optimized RbTiI2O structure.

ΔE_f (raw): 0.52 eV per atom
space group: P4/mmm (123)
density of states at the Fermi level: 7.87 states/eV/cell
relative energy among the computed polymorphs: 45.97 kcal/mol of atoms
total DFT energy (no corrections): -0.2107 Ry/atom

```
5
Lattice="-1.5676 6.0035 -1.6440 -2.1891 -2.1188 -5.6498 -3.8653 -0.5434 1.7014" Properties=species:S:1:pos:R:3 pbc="T T T"
Ti -3.8110 1.6707 -2.7962
I -1.0945 -1.0594 -2.8249
I -0.7838 3.0017 -0.8220
O -1.9327 -0.2717 0.8507
Rb 0.0000 0.0000 0.0000
```

---

3.
DFT (PBE) results for a geometry-optimized Rb2TiIO6 structure.

ΔE_f (raw): -1.42 eV per atom
space group: Fm-3m (225)
density of states at the Fermi level: 2.10 states/eV/cell
total DFT energy (no corrections): -0.4067 Ry/atom

```
10
Lattice="5.7481 0.0004 -0.0002 0.0004 5.7481 -0.0002 2.8743 2.8744 4.0636" Properties=species:S:1:pos:R:3 pbc="T T T"
Ti 0.0000 0.0000 0.0000
Rb 2.8738 5.7490 2.0316
Rb 5.7490 2.8739 2.0316
I 2.8743 2.8743 -0.0002
O 4.3156 1.4329 -0.0002
O 1.4329 4.3157 -0.0002
O 4.3147 4.3146 0.0033
O 2.8769 2.8769 2.0354
O 4.3081 4.3083 4.0599
O 5.7459 5.7460 2.0278
```

---

4.
DFT (PBE) results for a geometry-optimized RbTiI2O structure.

ΔE_f (raw): -1.48 eV per atom
space group: P4/mmm (123)
density of states at the Fermi level: 0.28 states/eV/cell
relative energy among the computed polymorphs: 0.00 kcal/mol of atoms
total DFT energy (no corrections): -0.3573 Ry/atom

```
5
Lattice="6.0854 0.0000 0.0000 0.0000 6.0854 0.0000 0.0000 0.0000 3.8518" Properties=species:S:1:pos:R:3 pbc="T T T"
Ti 0.0000 0.0000 0.0000
I 3.0427 0.0000 0.0000
I 0.0000 3.0427 0.0000
Rb 3.0427 3.0427 1.9259
O 0.0000 0.0000 1.9259
```

---

5.
DFT (PBE) results for a geometry-optimized Rb2TiI6O structure.

ΔE_f (raw): -0.69 eV per atom
space group: I4/mmm (139)
density of states at the Fermi level: 3.65 states/eV/cell
total DFT energy (no corrections): -0.2279 Ry/atom

```
10
Lattice="-6.3221 1.9357 -3.8537 -4.3001 -3.3473 5.3731 -5.5800 4.7330 3.9328" Properties=species:S:1:pos:R:3 pbc="T T T"
I -10.7412 0.9951 2.9236
I -5.7983 0.5671 -1.4633
I -5.4610 2.3263 2.5287
I -7.8704 -1.0459 1.1258
I -2.7518 -0.3657 0.3936
I -4.8239 -1.9787 2.9828
Ti 0.0000 0.0000 0.0000
Rb -8.6066 2.9815 0.4194
Rb -7.5956 0.3399 5.0328
O -5.3111 -0.7058 0.7597
```

---

6.
DFT (PBE) results for a geometry-optimized RbTi2IO8 structure.

ΔE_f (raw): -1.71 eV per atom
space group: C2/m (12)
density of states at the Fermi level: 0.00 states/eV/cell
total DFT energy (no corrections): -0.4810 Ry/atom

```
12
Lattice="-2.2065 0.6488 -4.6131 2.3163 -3.1202 -3.3886 -4.4759 -5.6875 -0.9685" Properties=species:S:1:pos:R:3 pbc="T T T"
O -4.1682 -5.9009 -2.7760
O -0.1979 -2.2581 -6.1942
O -2.3412 -6.8995 -4.6153
O -2.0397 -4.2902 -5.6543
O -2.0248 -1.2595 -4.3549
O 0.4133 -3.2918 -3.6899
O -4.7793 -4.8672 -5.2803
O -2.3263 -3.8688 -3.3159
Rb -2.2379 -2.8438 -0.4842
I 0.0000 0.0000 0.0000
Ti -1.2270 -2.9691 -4.5976
Ti -3.1390 -5.1899 -4.3726
```

---

7.
DFT (PBE) results for a geometry-optimized RbTiI2O8 structure.

ΔE_f (raw): -1.01 eV per atom
space group: C2/m (12)
density of states at the Fermi level: 3.76 states/eV/cell
total DFT energy (no corrections): -0.3901 Ry/atom

```
12
Lattice="5.6235 0.0000 0.0000 2.8118 5.6898 0.6414 2.8118 2.7888 6.7601" Properties=species:S:1:pos:R:3 pbc="T T T"
O 2.8118 4.1104 1.6595
O 5.6235 5.1579 6.2712
O 1.4292 0.6696 1.3144
O 7.0527 7.8091 6.0870
O 8.4353 4.3683 5.7420
O 4.1943 0.6696 1.3144
O 9.8178 7.8091 6.0870
O 5.6235 3.3208 1.1302
I 8.4353 6.5109 6.1438
I 2.8118 1.9678 1.2576
Ti 0.0000 0.0000 0.0000
Rb 5.6235 4.2393 3.7007
```

---

8.
DFT (PBE) results for a geometry-optimized Rb2TlIO structure.

ΔE_f (raw): -0.98 eV per atom
space group: P4/mmm (123)
density of states at the Fermi level: 1.08 states/eV/cell
total DFT energy (no corrections): -0.2310 Ry/atom

```
5
Lattice="5.8426 0.0000 0.0000 0.0000 5.8426 0.0000 0.0000 0.0000 5.1604" Properties=species:S:1:pos:R:3 pbc="T T T"
Rb 0.0000 2.9213 0.0000
Rb 2.9213 0.0000 0.0000
Tl 0.0000 0.0000 2.5802
O 0.0000 0.0000 0.0000
I 2.9213 2.9213 2.5802
```

---

9.
DFT (PBE) results for a geometry-optimized RbTl2IO8 structure.

ΔE_f (raw): -0.44 eV per atom
space group: P-1 (2)
density of states at the Fermi level: 2.77 states/eV/cell
total DFT energy (no corrections): -0.3201 Ry/atom

```
12
Lattice="-3.6563 3.3985 -1.8107 -1.6136 0.8153 4.3615 3.9377 6.5914 3.6312" Properties=species:S:1:pos:R:3 pbc="T T T"
O -0.7945 2.2606 3.3715
O -0.5378 8.5446 2.8105
O -1.1512 5.8218 4.6241
O -2.4951 3.9823 -0.4331
O 0.0593 9.5220 5.6458
O -0.1811 4.9834 1.5579
O -1.3916 1.2832 0.5362
O 1.1629 6.8229 6.6151
I 0.0000 0.0000 0.0000
Tl 0.3889 7.4507 4.5326
Tl -1.7212 3.3545 1.6494
Rb 1.9688 3.2957 1.8156
```

---

10.
DFT (PBE) results for a geometry-optimized RbTl2IO structure.

ΔE_f (raw): -0.77 eV per atom
space group: Cmcm (63)
density of states at the Fermi level: 0.00 states/eV/cell
total DFT energy (no corrections): -0.2357 Ry/atom

```
10
Lattice="5.3816 0.0000 0.0000 -2.6908 6.2595 0.0000 0.0000 0.0000 12.0766" Properties=species:S:1:pos:R:3 pbc="T T T"
O 0.0000 0.0000 6.0383
O 0.0000 0.0000 0.0000
I 0.0000 3.4609 3.0192
I 2.6908 2.7986 9.0575
Tl 2.6908 4.1387 0.4721
Tl 2.6908 4.1387 5.5662
Tl 0.0000 2.1208 11.6045
Tl 0.0000 2.1208 6.5105
Rb 0.0000 5.4379 9.0575
Rb 2.6908 0.8216 3.0192
```

---

11.
DFT (PBE) results for a geometry-optimized RbTlI2O8 structure.

ΔE_f (raw): -0.50 eV per atom
space group: C2/m (12)
density of states at the Fermi level: 0.00 states/eV/cell
total DFT energy (no corrections): -0.3188 Ry/atom

```
12
Lattice="-3.6470 -0.2623 5.5292 -1.0912 -5.9891 2.9697 4.1398 -2.4843 6.5864" Properties=species:S:1:pos:R:3 pbc="T T T"
I -0.1060 -6.7669 11.5299
I -0.4924 -1.9687 3.5554
O -2.7826 -3.9272 5.9255
O 0.2951 -3.5252 4.0010
O -0.9697 -1.0245 5.0155
O 0.6183 -0.9103 2.6081
O 0.3713 -7.7111 10.0698
O -0.8935 -5.2104 11.0842
O 2.1842 -4.8084 9.1598
O -1.2167 -7.8253 12.4772
Tl 0.0000 0.0000 0.0000
Rb -0.2992 -4.3678 7.5426
```

---

12.
DFT (PBE) results for a geometry-optimized Rb2TlIO6 structure.

ΔE_f (raw): -0.78 eV per atom
space group: Fm-3m (225)
density of states at the Fermi level: 7.11 states/eV/cell
total DFT energy (no corrections): -0.3190 Ry/atom

```
10
Lattice="6.0106 0.0000 0.0000 3.0053 5.2053 0.0000 3.0053 1.7351 4.9076" Properties=species:S:1:pos:R:3 pbc="T T T"
Rb 3.0053 1.7351 1.2269
Rb 9.0159 5.2053 3.6807
Tl 6.0106 3.4702 2.4538
O 6.0106 5.3663 3.7945
O 6.0106 1.5742 1.1131
O 7.6526 2.5222 3.7945
O 4.3686 4.4182 1.1131
O 4.3686 2.5222 3.7945
O 7.6526 4.4182 1.1131
I 0.0000 0.0000 0.0000
```

---

13.
DFT (PBE) results for a geometry-optimized Rb2TlIO4 structure.

ΔE_f (raw): -0.79 eV per atom
space group: I-4 (82)
density of states at the Fermi level: 0.00 states/eV/cell
total DFT energy (no corrections): -0.2941 Ry/atom

```
8
Lattice="6.3901 0.0799 0.1225 -2.6505 5.8151 -0.1225 -2.6505 -2.4523 5.2741" Properties=species:S:1:pos:R:3 pbc="T T T"
Tl 0.5446 -0.3455 3.9862
Rb 0.0000 0.0000 0.0000
Rb 0.5446 3.7882 1.2879
O -1.8708 -0.1315 2.8037
O 4.4158 2.6507 1.0556
O -2.1339 2.7865 4.1438
O 1.7673 1.5797 2.5451
I -2.6505 1.6814 2.5758
```

---

14.
DFT (PBE) results for a geometry-optimized RbTmIO6 structure.

ΔE_f (raw): -1.41 eV per atom
space group: P312 (149)
density of states at the Fermi level: 6.10 states/eV/cell
total DFT energy (no corrections): -0.4036 Ry/atom

```
9
Lattice="5.6702 0.0001 0.0000 2.8352 4.9105 -0.0001 0.0001 -0.0002 6.1409" Properties=species:S:1:pos:R:3 pbc="T T T"
Tm 5.6703 3.2737 3.0705
O 1.9278 2.9064 4.1561
O 2.1892 0.2164 4.1565
O 4.3881 1.7877 4.1564
O 3.4810 0.2162 1.9846
O 1.2820 1.7877 1.9843
O 3.7424 2.9063 1.9844
I 2.8350 1.6368 3.0703
Rb 8.5052 4.9105 0.0000
```

---

15.
DFT (PBE) results for a geometry-optimized RbTmI2O8 structure.

ΔE_f (raw): -1.08 eV per atom
space group: P-3m1 (164)
density of states at the Fermi level: 3.53 states/eV/cell
total DFT energy (no corrections): -0.3748 Ry/atom

```
12
Lattice="-1.8733 -0.5605 5.9064 -3.8359 -1.5646 -4.6419 2.8520 -7.5503 0.1881" Properties=species:S:1:pos:R:3 pbc="T T T"
O -1.6881 -2.0358 4.2631
O -1.2894 -4.1727 2.4720
O -1.5677 -5.5026 -1.0194
O 0.8384 -6.8208 -0.3814
O -1.1690 -7.6395 -2.8106
O -0.7078 -1.7425 1.1722
O -2.1493 -7.9329 0.2804
O -3.6955 -2.8546 1.8339
Tm 0.0000 0.0000 0.0000
I -1.9201 -2.5030 2.4304
I -0.9370 -7.1723 -0.9778
Rb 1.4260 -3.7751 0.0940
```

---

16.
DFT (PBE) results for a geometry-optimized Rb2UIO6 structure.

ΔE_f (raw): -1.89 eV per atom
space group: I4/mmm (139)
density of states at the Fermi level: 3.68 states/eV/cell
total DFT energy (no corrections): -0.4658 Ry/atom

```
10
Lattice="-2.8339 4.7533 2.3649 -3.7075 0.1470 -4.7382 -6.5134 -0.6965 1.2527" Properties=species:S:1:pos:R:3 pbc="T T T"
O -3.4831 1.3337 -2.9091
O -11.3700 2.9422 -0.5088
O -9.5718 2.8701 1.7885
O -1.6849 1.2616 -0.6118
O -7.7492 3.7275 -1.4642
O -5.3057 0.4763 0.3437
Rb -6.7459 0.9502 -2.3362
Rb -6.3089 3.2536 1.2157
I -3.2707 2.4502 -1.1866
U 0.0000 0.0000 0.0000
```